P.
Material: Cu6NiAu12
Method: DFT, PBE-GGA
State: relaxed

## Properties
- DOS(E_F): 7.6 states/eV/f.u.

Lattice parameters (Å, degrees): 12.2993 12.2993 6.9530 90.00 90.00 120.00
Space group R-3 (No. 148, hexagonal axes)
Asymmetric unit:
Cu (0.0341, 0.7515, 0.3332) [18 per cell]
Ni (0.0000, 0.0000, 0.0000) [3 per cell]
Au (0.0097, 0.8698, 0.6659) [18 per cell]
Au (0.0675, 0.5076, 0.6708) [18 per cell]



Q.
Material: Cu6NiAu12
Method: DFT, PBE-GGA
State: relaxed

## Properties
- DOS(E_F): 7.4 states/eV/f.u.

Lattice parameters (Å, degrees): 11.3767 11.3767 8.7798 90.00 90.00 120.00
Space group R-3 (No. 148, hexagonal axes)
Asymmetric unit:
Cu (0.0320, 0.1383, 0.2158) [18 per cell]
Ni (0.0000, 0.0000, 0.5000) [3 per cell]
Au (0.0659, 0.4751, 0.1322) [18 per cell]
Au (0.0686, 0.4764, 0.6152) [18 per cell]



Question: of the structures shown, which is the least stable? Reply: Q.